A.
# PBEsol Sr2AgPd2, optimized geometry
# D(E_F)	3.118	states/eV/cell
data_Sr2AgPd2
_space_group_name_H-M_alt 'I 4/m m m'
_space_group_IT_number 139
_space_group_name_Hall '-I 4 2'
_cell_length_a 5.745
_cell_length_b 5.745
_cell_length_c 7.923
_cell_angle_alpha 90.00
_cell_angle_beta 90.00
_cell_angle_gamma 90.00
loop_
_atom_site_label
_atom_site_type_symbol
_atom_site_fract_x
_atom_site_fract_y
_atom_site_fract_z
Sr1 Sr 0.000 0.500 0.250
Ag1 Ag 0.000 0.000 0.000
Pd1 Pd 0.000 0.000 0.338

***

B.
# PBEsol Sr2AgPd2, optimized geometry
# D(E_F)	4.467	states/eV/cell
data_Sr2AgPd2
_space_group_name_H-M_alt 'P 4/m b m'
_space_group_IT_number 127
_space_group_name_Hall '-P 4 2ab'
_cell_length_a 7.429
_cell_length_b 7.429
_cell_length_c 4.285
_cell_angle_alpha 90.00
_cell_angle_beta 90.00
_cell_angle_gamma 90.00
loop_
_atom_site_label
_atom_site_type_symbol
_atom_site_fract_x
_atom_site_fract_y
_atom_site_fract_z
Sr1 Sr 0.175 0.325 0.000
Ag1 Ag 0.000 0.000 0.500
Pd1 Pd 0.129 0.629 0.500

***

Q: Which of them is the least stable? A: A.

***

A.
# PBEsol Ag4Pt, optimized geometry
# D(E_F)	3.470	states/eV/cell
data_Ag4Pt
_space_group_name_H-M_alt 'I 4/m m m'
_space_group_IT_number 139
_space_group_name_Hall '-I 4 2'
_cell_length_a 3.627
_cell_length_b 3.627
_cell_length_c 13.672
_cell_angle_alpha 90.00
_cell_angle_beta 90.00
_cell_angle_gamma 90.00
loop_
_atom_site_label
_atom_site_type_symbol
_atom_site_fract_x
_atom_site_fract_y
_atom_site_fract_z
Ag1 Ag 0.000 0.000 0.095
Ag2 Ag 0.000 0.500 0.250
Pt1 Pt 0.000 0.000 0.500

***

B.
# PBEsol Ag4Pt, optimized geometry
# D(E_F)	3.347	states/eV/cell
data_Ag4Pt
_space_group_name_H-M_alt 'C 1 2/m 1'
_space_group_IT_number 12
_cell_length_a 9.402
_cell_length_b 2.828
_cell_length_c 6.963
_cell_angle_alpha 90.00
_cell_angle_beta 119.42
_cell_angle_gamma 90.00
loop_
_space_group_symop_operation_xyz
'x,y,z'
'-x,-y,-z'
'-x,y,-z'
'x,-y,z'
'x+1/2,y+1/2,z'
'-x+1/2,-y+1/2,-z'
'-x+1/2,y+1/2,-z'
'x+1/2,-y+1/2,z'
loop_
_atom_site_label
_atom_site_type_symbol
_atom_site_fract_x
_atom_site_fract_y
_atom_site_fract_z
Ag1 Ag 0.097 0.000 0.394
Ag2 Ag 0.203 0.500 0.801
Pt1 Pt 0.000 0.500 0.000

***

C.
# PBEsol Ag4Pt, optimized geometry
# D(E_F)	2.761	states/eV/cell
data_Ag4Pt
_space_group_name_H-M_alt 'I 4/m'
_space_group_IT_number 87
_space_group_name_Hall '-I 4'
_cell_length_a 6.325
_cell_length_b 6.325
_cell_length_c 4.035
_cell_angle_alpha 90.00
_cell_angle_beta 90.00
_cell_angle_gamma 90.00
loop_
_atom_site_label
_atom_site_type_symbol
_atom_site_fract_x
_atom_site_fract_y
_atom_site_fract_z
Ag1 Ag 0.101 0.299 0.000
Pt1 Pt 0.000 0.000 0.500

***

Q: Which of them is the least stable? A: A.

***

A.
# PBEsol Ag4Pt, optimized geometry
# D(E_F)	3.872	states/eV/cell
data_Ag4Pt
_space_group_name_H-M_alt 'I 4/m m m'
_space_group_IT_number 139
_space_group_name_Hall '-I 4 2'
_cell_length_a 2.827
_cell_length_b 2.827
_cell_length_c 20.177
_cell_angle_alpha 90.00
_cell_angle_beta 90.00
_cell_angle_gamma 90.00
loop_
_atom_site_label
_atom_site_type_symbol
_atom_site_fract_x
_atom_site_fract_y
_atom_site_fract_z
Ag1 Ag 0.000 0.000 0.098
Ag2 Ag 0.000 0.000 0.301
Pt1 Pt 0.000 0.000 0.500

***

B.
# PBEsol Ag4Pt, optimized geometry
# D(E_F)	5.680	states/eV/cell
data_Ag4Pt
_space_group_name_H-M_alt 'R -3 m'
_space_group_IT_number 166
_space_group_name_Hall '-R 3 2"'
_cell_length_a 2.8160
_cell_length_b 2.8160
_cell_length_c 35.0948
_cell_angle_alpha 90.00
_cell_angle_beta 90.00
_cell_angle_gamma 120.00
loop_
_atom_site_label
_atom_site_type_symbol
_atom_site_fract_x
_atom_site_fract_y
_atom_site_fract_z
Ag1 Ag 0.0000 0.0000 0.1006
Ag2 Ag 0.0000 0.0000 0.2996
Pt1 Pt 0.0000 0.0000 0.5000

***

Q: Which of them is the least stable? A: A.

***

A.
# PBEsol Ag2Pt3, optimized geometry
# D(E_F)	19.922	states/eV/cell
data_Ag2Pt3
_space_group_name_H-M_alt 'C 1 m 1'
_space_group_IT_number 8
_cell_length_a 23.124
_cell_length_b 2.762
_cell_length_c 4.844
_cell_angle_alpha 90.00
_cell_angle_beta 93.88
_cell_angle_gamma 90.00
loop_
_space_group_symop_operation_xyz
'x,y,z'
'x,-y,z'
'x+1/2,y+1/2,z'
'x+1/2,-y+1/2,z'
loop_
_atom_site_label
_atom_site_type_symbol
_atom_site_fract_x
_atom_site_fract_y
_atom_site_fract_z
Ag1 Ag 0.000 0.000 0.000
Ag2 Ag 0.002 0.500 0.505
Ag3 Ag 0.202 0.000 0.403
Ag4 Ag 0.401 0.500 0.301
Pt1 Pt 0.101 0.500 0.199
Pt2 Pt 0.103 0.000 0.702
Pt3 Pt 0.201 0.500 0.902
Pt4 Pt 0.299 0.000 0.098
Pt5 Pt 0.302 0.500 0.606
Pt6 Pt 0.399 0.000 0.801

***

B.
# PBEsol Ag2Pt3, optimized geometry
# D(E_F)	12.027	states/eV/cell
data_Ag2Pt3
_space_group_name_H-M_alt 'I 4/m m m'
_space_group_IT_number 139
_space_group_name_Hall '-I 4 2'
_cell_length_a 2.752
_cell_length_b 2.752
_cell_length_c 20.467
_cell_angle_alpha 90.00
_cell_angle_beta 90.00
_cell_angle_gamma 90.00
loop_
_atom_site_label
_atom_site_type_symbol
_atom_site_fract_x
_atom_site_fract_y
_atom_site_fract_z
Ag1 Ag 0.000 0.000 0.101
Pt1 Pt 0.000 0.000 0.298
Pt2 Pt 0.000 0.000 0.500

***

C.
# PBEsol Ag2Pt3, optimized geometry
# D(E_F)	10.216	states/eV/cell
data_Ag2Pt3
_space_group_name_H-M_alt 'P 1'
_space_group_IT_number 1
_cell_length_a 4.848
_cell_length_b 4.854
_cell_length_c 7.374
_cell_angle_alpha 70.83
_cell_angle_beta 71.13
_cell_angle_gamma 80.55
loop_
_space_group_symop_operation_xyz
'x,y,z'
loop_
_atom_site_label
_atom_site_type_symbol
_atom_site_fract_x
_atom_site_fract_y
_atom_site_fract_z
Ag1 Ag 0.000 0.000 0.000
Ag2 Ag 0.001 0.801 0.398
Ag3 Ag 0.006 0.600 0.797
Ag4 Ag 0.503 0.513 0.498
Pt1 Pt 0.000 0.197 0.598
Pt2 Pt 0.004 0.399 0.200
Pt3 Pt 0.495 0.119 0.298
Pt4 Pt 0.500 0.916 0.698
Pt5 Pt 0.504 0.700 0.094
Pt6 Pt 0.506 0.301 0.902

***

Q: Which of them is the least stable? A: B.

***

A.
# PBEsol Ag2Pt3, optimized geometry
# D(E_F)	9.513	states/eV/cell
data_Ag2Pt3
_space_group_name_H-M_alt 'P -1'
_space_group_IT_number 2
_cell_length_a 4.783
_cell_length_b 4.866
_cell_length_c 7.420
_cell_angle_alpha 108.33
_cell_angle_beta 101.63
_cell_angle_gamma 100.52
loop_
_space_group_symop_operation_xyz
'x,y,z'
'-x,-y,-z'
loop_
_atom_site_label
_atom_site_type_symbol
_atom_site_fract_x
_atom_site_fract_y
_atom_site_fract_z
Ag1 Ag 0.151 0.300 0.050
Ag2 Ag 0.247 0.499 0.753
Pt1 Pt 0.059 0.104 0.354
Pt2 Pt 0.354 0.706 0.453
Pt3 Pt 0.460 0.914 0.157

***

B.
# PBEsol Ag2Pt3, optimized geometry
# D(E_F)	9.494	states/eV/cell
data_Ag2Pt3
_space_group_name_H-M_alt 'P 1 2/m 1'
_space_group_IT_number 10
_cell_length_a 6.089
_cell_length_b 4.001
_cell_length_c 6.360
_cell_angle_alpha 90.00
_cell_angle_beta 92.09
_cell_angle_gamma 90.00
loop_
_space_group_symop_operation_xyz
'x,y,z'
'-x,-y,-z'
'-x,y,-z'
'x,-y,z'
loop_
_atom_site_label
_atom_site_type_symbol
_atom_site_fract_x
_atom_site_fract_y
_atom_site_fract_z
Ag1 Ag 0.000 0.000 0.000
Ag2 Ag 0.202 0.000 0.400
Ag3 Ag 0.500 0.500 0.500
Pt1 Pt 0.098 0.500 0.701
Pt2 Pt 0.305 0.500 0.096
Pt3 Pt 0.397 0.000 0.806

***

C.
# PBEsol Ag2Pt3, optimized geometry
# D(E_F)	20.062	states/eV/cell
data_Ag2Pt3
_space_group_name_H-M_alt 'C 1 2/c 1'
_space_group_IT_number 15
_cell_length_a 4.803
_cell_length_b 14.222
_cell_length_c 4.809
_cell_angle_alpha 90.00
_cell_angle_beta 109.08
_cell_angle_gamma 90.00
loop_
_space_group_symop_operation_xyz
'x,y,z'
'-x,-y,-z'
'-x,y,-z+1/2'
'x,-y,z+1/2'
'x+1/2,y+1/2,z'
'-x+1/2,-y+1/2,-z'
'-x+1/2,y+1/2,-z+1/2'
'x+1/2,-y+1/2,z+1/2'
loop_
_atom_site_label
_atom_site_type_symbol
_atom_site_fract_x
_atom_site_fract_y
_atom_site_fract_z
Ag1 Ag 0.000 0.153 0.250
Ag2 Ag 0.000 0.251 0.750
Pt1 Pt 0.000 0.050 0.750
Pt2 Pt 0.000 0.358 0.250
Pt3 Pt 0.000 0.452 0.750

***

Q: Which of them is the least stable? A: B.

***

A.
# PBEsol Ag2Pt3, optimized geometry
# D(E_F)	13.134	states/eV/cell
data_Ag2Pt3
_space_group_name_H-M_alt 'R -3 m'
_space_group_IT_number 166
_space_group_name_Hall '-R 3 2"'
_cell_length_a 2.7572
_cell_length_b 2.7572
_cell_length_c 35.1285
_cell_angle_alpha 90.00
_cell_angle_beta 90.00
_cell_angle_gamma 120.00
loop_
_atom_site_label
_atom_site_type_symbol
_atom_site_fract_x
_atom_site_fract_y
_atom_site_fract_z
Ag1 Ag 0.0000 0.0000 0.0997
Pt1 Pt 0.0000 0.0000 0.3003
Pt2 Pt 0.0000 0.0000 0.5000

***

B.
# PBEsol Ag2Pt3, optimized geometry
# D(E_F)	10.801	states/eV/cell
data_Ag2Pt3
_space_group_name_H-M_alt 'I m m m'
_space_group_IT_number 71
_space_group_name_Hall '-I 2 2'
_cell_length_a 2.769
_cell_length_b 3.956
_cell_length_c 14.135
_cell_angle_alpha 90.00
_cell_angle_beta 90.00
_cell_angle_gamma 90.00
loop_
_atom_site_label
_atom_site_type_symbol
_atom_site_fract_x
_atom_site_fract_y
_atom_site_fract_z
Ag1 Ag 0.000 0.000 0.200
Pt1 Pt 0.000 0.000 0.000
Pt2 Pt 0.000 0.000 0.404

***

Q: Which of them is the least stable? A: B.

***

A.
# PBEsol Ag7Pt5, optimized geometry
# D(E_F)	17.479	states/eV/cell
data_Ag7Pt5
_space_group_name_H-M_alt 'C m m m'
_space_group_IT_number 65
_space_group_name_Hall '-C 2 2'
_cell_length_a 5.609
_cell_length_b 16.818
_cell_length_c 3.998
_cell_angle_alpha 90.00
_cell_angle_beta 90.00
_cell_angle_gamma 90.00
loop_
_atom_site_label
_atom_site_type_symbol
_atom_site_fract_x
_atom_site_fract_y
_atom_site_fract_z
Ag1 Ag 0.000 0.000 0.000
Ag2 Ag 0.000 0.166 0.000
Ag3 Ag 0.247 0.416 0.500
Pt1 Pt 0.000 0.331 0.000
Pt2 Pt 0.000 0.500 0.000
Pt3 Pt 0.250 0.250 0.500

***

B.
# PBEsol Ag7Pt5, optimized geometry
# D(E_F)	6.752	states/eV/cell
data_Ag7Pt5
_space_group_name_H-M_alt 'C 2 2 2'
_space_group_IT_number 21
_cell_length_a 5.691
_cell_length_b 7.851
_cell_length_c 8.433
_cell_angle_alpha 90.00
_cell_angle_beta 90.00
_cell_angle_gamma 90.00
loop_
_space_group_symop_operation_xyz
'x,y,z'
'-x,-y,z'
'x,-y,-z'
'-x,y,-z'
'x+1/2,y+1/2,z'
'-x+1/2,-y+1/2,z'
'x+1/2,-y+1/2,-z'
'-x+1/2,y+1/2,-z'
loop_
_atom_site_label
_atom_site_type_symbol
_atom_site_fract_x
_atom_site_fract_y
_atom_site_fract_z
Ag1 Ag 0.000 0.000 0.000
Ag2 Ag 0.000 0.000 0.333
Ag3 Ag 0.250 0.250 0.499
Ag4 Ag 0.250 0.250 0.836
Pt1 Pt 0.000 0.500 0.000
Pt2 Pt 0.000 0.500 0.328
Pt3 Pt 0.250 0.250 0.168

***

Q: Which of them is the least stable? A: A.

***

A.
# PBEsol Ag7Pt5, optimized geometry
# D(E_F)	6.498	states/eV/cell
data_Ag7Pt5
_space_group_name_H-M_alt 'P m m m'
_space_group_IT_number 47
_cell_length_a 3.984
_cell_length_b 5.597
_cell_length_c 8.483
_cell_angle_alpha 90.00
_cell_angle_beta 90.00
_cell_angle_gamma 90.00
loop_
_space_group_symop_operation_xyz
'x,y,z'
'-x,-y,-z'
'-x,-y,z'
'x,y,-z'
'x,-y,-z'
'-x,y,z'
'-x,y,-z'
'x,-y,z'
loop_
_atom_site_label
_atom_site_type_symbol
_atom_site_fract_x
_atom_site_fract_y
_atom_site_fract_z
Ag1 Ag 0.000 0.000 0.000
Ag2 Ag 0.000 0.500 0.334
Ag3 Ag 0.500 0.250 0.168
Pt1 Pt 0.000 0.000 0.341
Pt2 Pt 0.000 0.500 0.000
Pt3 Pt 0.500 0.243 0.500

***

B.
# PBEsol Ag7Pt5, optimized geometry
# D(E_F)	6.585	states/eV/cell
data_Ag7Pt5
_space_group_name_H-M_alt 'P 1 2/m 1'
_space_group_IT_number 10
_cell_length_a 4.882
_cell_length_b 5.596
_cell_length_c 6.908
_cell_angle_alpha 90.00
_cell_angle_beta 90.98
_cell_angle_gamma 90.00
loop_
_space_group_symop_operation_xyz
'x,y,z'
'-x,-y,-z'
'-x,y,-z'
'x,-y,z'
loop_
_atom_site_label
_atom_site_type_symbol
_atom_site_fract_x
_atom_site_fract_y
_atom_site_fract_z
Ag1 Ag 0.000 0.000 0.000
Ag2 Ag 0.167 0.252 0.663
Ag3 Ag 0.336 0.000 0.329
Pt1 Pt 0.000 0.500 0.000
Pt2 Pt 0.337 0.500 0.328
Pt3 Pt 0.500 0.258 0.000

***

Q: Which of them is the least stable? A: A.

***

A.
# PBEsol AgPt4, optimized geometry
# D(E_F)	14.193	states/eV/cell
data_AgPt4
_space_group_name_H-M_alt 'I 4/m'
_space_group_IT_number 87
_space_group_name_Hall '-I 4'
_cell_length_a 6.246
_cell_length_b 6.246
_cell_length_c 3.893
_cell_angle_alpha 90.00
_cell_angle_beta 90.00
_cell_angle_gamma 90.00
loop_
_atom_site_label
_atom_site_type_symbol
_atom_site_fract_x
_atom_site_fract_y
_atom_site_fract_z
Ag1 Ag 0.000 0.000 0.000
Pt1 Pt 0.103 0.697 0.500

***

B.
# PBEsol AgPt4, optimized geometry
# D(E_F)	16.120	states/eV/cell
data_AgPt4
_space_group_name_H-M_alt 'I 4/m m m'
_space_group_IT_number 139
_space_group_name_Hall '-I 4 2'
_cell_length_a 2.760
_cell_length_b 2.760
_cell_length_c 19.982
_cell_angle_alpha 90.00
_cell_angle_beta 90.00
_cell_angle_gamma 90.00
loop_
_atom_site_label
_atom_site_type_symbol
_atom_site_fract_x
_atom_site_fract_y
_atom_site_fract_z
Ag1 Ag 0.000 0.000 0.000
Pt1 Pt 0.000 0.000 0.201
Pt2 Pt 0.000 0.000 0.396

***

Q: Which of them is the least stable? A: A.

***

A.
# PBEsol AgPt4, optimized geometry
# D(E_F)	15.303	states/eV/cell
data_AgPt4
_space_group_name_H-M_alt 'C 1 2/m 1'
_space_group_IT_number 12
_cell_length_a 9.249
_cell_length_b 2.745
_cell_length_c 6.825
_cell_angle_alpha 90.00
_cell_angle_beta 118.63
_cell_angle_gamma 90.00
loop_
_space_group_symop_operation_xyz
'x,y,z'
'-x,-y,-z'
'-x,y,-z'
'x,-y,z'
'x+1/2,y+1/2,z'
'-x+1/2,-y+1/2,-z'
'-x+1/2,y+1/2,-z'
'x+1/2,-y+1/2,z'
loop_
_atom_site_label
_atom_site_type_symbol
_atom_site_fract_x
_atom_site_fract_y
_atom_site_fract_z
Ag1 Ag 0.000 0.000 0.000
Pt1 Pt 0.104 0.500 0.408
Pt2 Pt 0.197 0.000 0.802

***

B.
# PBEsol AgPt4, optimized geometry
# D(E_F)	11.320	states/eV/cell
data_AgPt4
_space_group_name_H-M_alt 'I m -3 m'
_space_group_IT_number 229
_space_group_name_Hall '-I 4 2 3'
_cell_length_a 5.727
_cell_length_b 5.727
_cell_length_c 5.727
_cell_angle_alpha 90.00
_cell_angle_beta 90.00
_cell_angle_gamma 90.00
loop_
_atom_site_label
_atom_site_type_symbol
_atom_site_fract_x
_atom_site_fract_y
_atom_site_fract_z
Ag1 Ag 0.000 0.000 0.000
Pt1 Pt 0.250 0.250 0.250

***

C.
# PBEsol AgPt4, optimized geometry
# D(E_F)	15.524	states/eV/cell
data_AgPt4
_space_group_name_H-M_alt 'I m m m'
_space_group_IT_number 71
_space_group_name_Hall '-I 2 2'
_cell_length_a 2.772
_cell_length_b 3.933
_cell_length_c 13.927
_cell_angle_alpha 90.00
_cell_angle_beta 90.00
_cell_angle_gamma 90.00
loop_
_atom_site_label
_atom_site_type_symbol
_atom_site_fract_x
_atom_site_fract_y
_atom_site_fract_z
Ag1 Ag 0.000 0.000 0.000
Pt1 Pt 0.000 0.000 0.201
Pt2 Pt 0.000 0.000 0.399

***

D.
# PBEsol AgPt4, optimized geometry
# D(E_F)	20.736	states/eV/cell
data_AgPt4
_space_group_name_H-M_alt 'R -3 m'
_space_group_IT_number 166
_space_group_name_Hall '-R 3 2"'
_cell_length_a 2.7522
_cell_length_b 2.7522
_cell_length_c 34.7366
_cell_angle_alpha 90.00
_cell_angle_beta 90.00
_cell_angle_gamma 120.00
loop_
_atom_site_label
_atom_site_type_symbol
_atom_site_fract_x
_atom_site_fract_y
_atom_site_fract_z
Ag1 Ag 0.0000 0.0000 0.0000
Pt1 Pt 0.0000 0.0000 0.1995
Pt2 Pt 0.0000 0.0000 0.4011

***

Q: Which of them is the least stable? A: B.